# TmTiHg2 PBE relaxed
data_TmTiHg2
_chemical_formula_sum 'Tm4 Ti4 Hg8'
_cell_length_a 7.060
_cell_length_b 7.060
_cell_length_c 7.060
_cell_angle_alpha 90.00
_cell_angle_beta 90.00
_cell_angle_gamma 90.00
_space_group_name_H-M_alt 'F m -3 m'
_space_group_IT_number 225
_space_group_name_Hall '-F 4 2 3'
loop_
_atom_site_label
_atom_site_fract_x
_atom_site_fract_y
_atom_site_fract_z
Tm1 0.000 0.000 0.000
Ti1 0.000 0.000 0.500
Hg1 0.250 0.250 0.250
# Energy (eV per atom): -3.43
# Formation energy from the elements (eV per formula unit): -0.74
# ΔE to the lowest computed polymorph (meV/atom): 2